1.
6
Lattice="3.526 0.000 0.000 0.000 3.526 0.000 0.000 0.000 11.951" Properties=species:S:1:pos:R:3 comment="PrSc3Cd2, optimized geometry, DFT PBE" e_form_ev_per_atom=-0.17 polymorph_energy_kj_per_mol_atoms=0.00 energy_ev_per_atom=-4.44 spacegroup="No. 123" crystal_system=tetragonal pbc="T T T"
Pr 0.000 0.000 0.000
Sc 1.763 1.763 2.418
Sc 1.763 1.763 5.976
Sc 1.763 1.763 9.534
Cd 0.000 0.000 4.188
Cd 0.000 0.000 7.764

---

2.
8
Lattice="-3.305 3.305 3.008 3.305 -3.305 3.008 3.305 3.305 -3.008" Properties=species:S:1:pos:R:3 comment="Hg2HPd, optimized geometry, DFT PBE" polymorph_energy_kj_per_mol_atoms=27.60 energy_ev_per_atom=-1.99 spacegroup="No. 122" crystal_system=tetragonal pbc="T T T"
Hg 1.652 1.179 -0.752
Hg 2.126 -1.652 3.760
Hg 1.652 2.126 2.256
Hg 1.179 4.957 0.752
H 0.000 0.000 0.000
H 0.000 3.305 1.504
Pd 3.305 0.000 1.504
Pd 0.000 0.000 3.008

---

3.
4
Lattice="0.000 3.652 3.652 3.652 0.000 3.652 3.652 3.652 0.000" Properties=species:S:1:pos:R:3 comment="TcSb2I, optimized geometry, DFT PBE" polymorph_energy_kj_per_mol_atoms=44.19 energy_ev_per_atom=-4.13 spacegroup="No. 225" crystal_system=cubic formation_energy_uncorrected_ev_per_atom=0.915 pbc="T T T"
Tc 0.000 0.000 0.000
Sb 1.826 1.826 1.826
Sb 5.478 5.478 5.478
I 3.652 3.652 3.652

---

4.
5
Lattice="5.141 0.000 0.000 0.000 5.141 0.000 0.000 0.000 5.141" Properties=species:S:1:pos:R:3 comment="InAg3As, optimized geometry, DFT PBE" e_form_ev_per_atom=0.86 polymorph_energy_kj_per_mol_atoms=58.26 energy_ev_per_atom=-2.33 spacegroup="No. 221" crystal_system=cubic pbc="T T T"
In 0.000 0.000 0.000
Ag 0.000 0.000 2.570
Ag 0.000 2.570 0.000
Ag 2.570 0.000 0.000
As 2.570 2.570 2.570

---

5.
4
Lattice="0.000 4.281 4.281 4.281 0.000 4.281 4.281 4.281 0.000" Properties=species:S:1:pos:R:3 comment="Ca3Cl, optimized geometry, DFT PBE" polymorph_energy_kj_per_mol_atoms=55.15 energy_ev_per_atom=-2.18 spacegroup="No. 225" crystal_system=cubic formation_energy_uncorrected_ev_per_atom=-0.213 pbc="T T T"
Ca 0.000 0.000 0.000
Ca 2.141 2.141 2.141
Ca 6.422 6.422 6.422
Cl 4.281 4.281 4.281

---

6.
13
Lattice="5.687 -2.612 0.000 5.687 2.612 0.000 -4.675 0.000 6.288" Properties=species:S:1:pos:R:3 comment="U2Ga3Ni8, optimized geometry, DFT PBE" e_form_ev_per_atom=-0.19 energy_ev_per_atom=-6.19 spacegroup="No. 12" crystal_system=monoclinic pbc="T T T"
U 0.559 0.000 1.591
U 6.140 0.000 4.697
Ga 3.350 1.324 3.144
Ga 5.687 0.000 0.000
Ga 3.350 -1.324 3.144
Ni 3.838 1.340 0.687
Ni -0.899 0.000 4.734
Ni 2.861 1.340 5.601
Ni 1.447 0.000 3.917
Ni 5.252 0.000 2.371
Ni 3.838 -1.340 0.687
Ni 7.598 0.000 1.554
Ni 2.861 -1.340 5.601

---

7.
3
Lattice="-1.785 1.785 4.180 1.785 -1.785 4.180 1.785 1.785 -4.180" Properties=species:S:1:pos:R:3 comment="ZnTeRh, optimized geometry, DFT PBE" polymorph_energy_kj_per_mol_atoms=22.65 energy_ev_per_atom=-3.98 spacegroup="No. 107" crystal_system=tetragonal formation_energy_uncorrected_ev_per_atom=-0.056 pbc="T T T"
Zn 0.000 0.000 0.000
Te 0.000 0.000 5.644
Rh 0.000 0.000 2.865

---

8.
4
Lattice="-2.190 2.190 5.142 2.190 -2.190 5.142 2.190 2.190 -5.142" Properties=species:S:1:pos:R:3 comment="SrTaHg2, optimized geometry, DFT PBE" e_form_ev_per_atom=0.54 energy_ev_per_atom=-3.00 spacegroup="No. 119" crystal_system=tetragonal pbc="T T T"
Sr 0.000 0.000 0.000
Ta 2.190 0.000 2.571
Hg 0.000 0.000 5.142
Hg 0.000 2.190 2.571

---

9.
3
Lattice="3.056 0.000 0.000 -1.528 2.646 0.000 0.000 0.000 7.526" Properties=species:S:1:pos:R:3 comment="SrOsAu, optimized geometry, DFT PBE" e_form_ev_per_atom=0.91 polymorph_energy_kj_per_mol_atoms=50.86 energy_ev_per_atom=-4.48 spacegroup="No. 156" crystal_system=trigonal pbc="T T T"
Sr 0.000 0.000 0.000
Os 0.000 1.764 5.020
Au 1.528 0.882 2.733

---

10.
5
Lattice="5.457 0.000 0.000 0.000 5.457 0.000 0.000 0.000 5.538" Properties=species:S:1:pos:R:3 comment="ScSiSn2Pb, optimized geometry, DFT PBE" energy_ev_per_atom=-3.95 spacegroup="No. 123" crystal_system=tetragonal formation_energy_uncorrected_ev_per_atom=0.740 pbc="T T T"
Sc 0.000 0.000 0.000
Si 2.729 2.729 2.769
Sn 0.000 2.729 0.000
Sn 2.729 0.000 0.000
Pb 0.000 0.000 2.769

---

11.
8
Lattice="7.271 0.000 0.000 0.000 4.335 0.000 -2.520 0.000 7.062" Properties=species:S:1:pos:R:3 comment="Sr2AgSnSe4, optimized geometry, DFT PBE" energy_ev_per_atom=-4.06 spacegroup="No. 10" crystal_system=monoclinic formation_energy_uncorrected_ev_per_atom=-1.041 pbc="T T T"
Sr 0.000 0.000 0.000
Sr -1.260 2.168 3.531
Ag 2.375 0.000 3.531
Sn 3.636 2.168 0.000
Se 0.030 0.000 5.358
Se 1.367 2.168 1.773
Se 3.384 2.168 5.289
Se 4.720 0.000 1.704

---

12.
13
Lattice="5.426 0.000 0.000 0.009 12.639 0.000 0.001 5.932 15.747" Properties=species:S:1:pos:R:3 comment="Cs8K3Hg2, optimized geometry, DFT PBE" e_form_ev_per_atom=-0.07 energy_ev_per_atom=-0.90 spacegroup="No. 2" crystal_system=triclinic pbc="T T T"
Cs 5.424 1.705 4.093
Cs 5.427 8.325 14.945
Cs 0.009 10.245 0.802
Cs 0.012 16.866 11.654
Cs 2.709 5.735 2.516
Cs 2.715 8.274 10.477
Cs 2.721 10.297 5.271
Cs 2.727 12.835 13.231
K 0.010 12.163 9.038
K 2.713 2.966 7.874
K 5.426 6.408 6.709
Hg 2.715 5.483 14.266
Hg 2.721 13.087 1.481

---

13.
5
Lattice="6.098 0.000 0.000 0.000 6.098 0.000 0.000 0.000 5.082" Properties=species:S:1:pos:R:3 comment="Ba2IrPdI, optimized geometry, DFT PBE" energy_ev_per_atom=-3.96 spacegroup="No. 123" crystal_system=tetragonal formation_energy_uncorrected_ev_per_atom=-0.074 pbc="T T T"
Ba 0.000 3.049 0.000
Ba 3.049 0.000 0.000
Ir 0.000 0.000 0.000
Pd 3.049 3.049 2.541
I 0.000 0.000 2.541

---

14.
16
Lattice="1.680 -5.725 0.000 1.680 5.725 0.000 0.000 0.000 11.469" Properties=species:S:1:pos:R:3 comment="TbTm2RuN4, optimized geometry, DFT PBE" energy_ev_per_atom=-8.11 spacegroup="No. 63" crystal_system=orthorhombic formation_energy_uncorrected_ev_per_atom=-1.087 pbc="T T T"
Tb 1.680 4.249 8.602
Tb 1.680 -4.249 2.867
Tm 1.680 1.501 6.214
Tm 1.680 1.501 10.990
Tm 1.680 -1.501 0.479
Tm 1.680 -1.501 5.255
Ru 1.680 4.183 2.867
Ru 1.680 -4.183 8.602
N 0.000 0.000 0.000
N 0.000 0.000 5.734
N 1.680 2.672 1.466
N 1.680 2.672 4.268
N 1.680 0.534 8.602
N 1.680 -0.534 2.867
N 1.680 -2.672 7.201
N 1.680 -2.672 10.003

---

15.
4
Lattice="3.694 0.000 0.000 0.000 3.694 0.000 0.000 0.000 5.260" Properties=species:S:1:pos:R:3 comment="CoAs2Se, optimized geometry, DFT PBE" energy_ev_per_atom=-4.44 spacegroup="No. 123" crystal_system=tetragonal formation_energy_uncorrected_ev_per_atom=0.528 pbc="T T T"
Co 0.000 0.000 0.000
As 0.000 1.847 2.630
As 1.847 0.000 2.630
Se 1.847 1.847 0.000

---

16.
12
Lattice="4.623 -7.215 0.000 4.623 7.215 0.000 -2.765 0.000 5.831" Properties=species:S:1:pos:R:3 comment="Nd4SbPb, optimized geometry, DFT PBE" energy_ev_per_atom=-5.01 spacegroup="No. 15" crystal_system=monoclinic formation_energy_uncorrected_ev_per_atom=-0.527 pbc="T T T"
Nd 1.047 4.495 5.391
Nd 0.921 1.164 3.962
Nd 4.052 4.495 3.355
Nd 2.304 -1.164 1.046
Nd 4.178 1.164 4.785
Nd 2.429 -4.495 2.476
Nd 5.560 -1.164 1.869
Nd 5.435 -4.495 0.440
Sb 3.932 7.174 1.458
Sb 2.550 -7.174 4.373
Pb 3.932 1.745 1.458
Pb 2.550 -1.745 4.373

---

17.
11
Lattice="3.726 -6.423 0.000 3.726 6.423 0.000 -2.524 0.000 7.789" Properties=species:S:1:pos:R:3 comment="Pr2PaTl2Se6, optimized geometry, DFT PBE" energy_ev_per_atom=-5.43 spacegroup="No. 12" crystal_system=monoclinic formation_energy_uncorrected_ev_per_atom=-1.370 pbc="T T T"
Pr 3.726 4.283 0.000
Pr 3.726 -4.283 0.000
Pa 3.726 0.000 0.000
Tl 2.464 2.168 3.895
Tl 2.464 -2.168 3.895
Se 0.018 2.056 6.182
Se 1.368 0.000 1.620
Se 0.018 -2.056 6.182
Se 4.910 2.056 1.607
Se 3.559 0.000 6.169
Se 4.910 -2.056 1.607

---

18.
19
Lattice="7.315 4.223 2.682 -7.315 4.223 2.682 0.000 -8.447 2.682" Properties=species:S:1:pos:R:3 comment="Tm12AlCd6, optimized geometry, DFT PBE" e_form_ev_per_atom=-0.13 energy_ev_per_atom=-3.44 spacegroup="No. 148" crystal_system=trigonal pbc="T T T"
Tm -1.072 -1.620 1.369
Tm -0.867 1.738 1.369
Tm -3.101 -1.304 4.026
Tm 1.939 -0.118 1.369
Tm -0.421 -3.338 4.020
Tm -2.680 2.033 4.020
Tm 2.680 -2.033 4.026
Tm 0.421 3.338 4.026
Tm -1.939 0.118 6.676
Tm 3.101 1.304 4.020
Tm 0.867 -1.738 6.676
Tm 1.072 1.620 6.676
Al 0.000 0.000 4.023
Cd -3.497 -4.585 4.008
Cd -5.719 0.736 4.037
Cd 2.222 -5.321 4.037
Cd -2.222 5.321 4.008
Cd 5.719 -0.736 4.008
Cd 3.497 4.585 4.037

---

19.
4
Lattice="0.000 3.376 3.376 3.376 0.000 3.376 3.376 3.376 0.000" Properties=species:S:1:pos:R:3 comment="YAlP2, optimized geometry, DFT PBE" e_form_ev_per_atom=0.05 energy_ev_per_atom=-5.21 spacegroup="No. 216" crystal_system=cubic pbc="T T T"
Y 0.000 0.000 0.000
Al 5.064 5.064 5.064
P 1.688 1.688 1.688
P 3.376 3.376 3.376

---

20.
22
Lattice="2.008 -6.638 0.000 2.008 6.638 0.000 0.000 0.000 20.539" Properties=species:S:1:pos:R:3 comment="Er6HgSe4, optimized geometry, DFT PBE" energy_ev_per_atom=-5.13 spacegroup="No. 63" crystal_system=orthorhombic formation_energy_uncorrected_ev_per_atom=-1.344 pbc="T T T"
Er 0.000 0.000 0.000
Er 0.000 0.000 10.270
Er 2.008 4.480 15.405
Er 2.008 3.049 1.853
Er 2.008 3.049 8.417
Er 2.008 0.650 13.659
Er 2.008 0.650 17.150
Er 2.008 -0.650 3.390
Er 2.008 -0.650 6.880
Er 2.008 -3.049 12.123
Er 2.008 -3.049 18.686
Er 2.008 -4.480 5.135
Hg 2.008 4.438 5.135
Hg 2.008 -4.438 15.405
Se 2.008 5.465 12.799
Se 2.008 5.465 18.010
Se 2.008 1.854 11.062
Se 2.008 1.854 19.747
Se 2.008 -1.854 0.793
Se 2.008 -1.854 9.477
Se 2.008 -5.465 2.530
Se 2.008 -5.465 7.740

---

21.
4
Lattice="3.548 0.000 0.000 0.000 3.548 0.000 0.000 0.000 7.038" Properties=species:S:1:pos:R:3 comment="GdCdAg2, optimized geometry, DFT PBE" e_form_ev_per_atom=-0.18 energy_ev_per_atom=-5.36 spacegroup="No. 123" crystal_system=tetragonal pbc="T T T"
Gd 0.000 0.000 0.000
Cd 0.000 0.000 3.519
Ag 1.774 1.774 1.923
Ag 1.774 1.774 5.115

---

22.
5
Lattice="7.254 0.000 0.000 0.000 7.254 0.000 0.000 0.000 7.254" Properties=species:S:1:pos:R:3 comment="Ba3SrH, optimized geometry, DFT PBE" polymorph_energy_kj_per_mol_atoms=102.15 energy_ev_per_atom=-1.21 spacegroup="No. 221" crystal_system=cubic pbc="T T T"
Ba 0.000 0.000 3.627
Ba 0.000 3.627 0.000
Ba 3.627 0.000 0.000
Sr 0.000 0.000 0.000
H 3.627 3.627 3.627

---

23.
4
Lattice="0.000 4.521 4.521 4.521 0.000 4.521 4.521 4.521 0.000" Properties=species:S:1:pos:R:3 comment="Cs2PtI, optimized geometry, DFT PBE" polymorph_energy_kj_per_mol_atoms=0.00 energy_ev_per_atom=-2.60 spacegroup="No. 225" crystal_system=cubic formation_energy_uncorrected_ev_per_atom=-0.278 pbc="T T T"
Cs 2.260 2.260 2.260
Cs 6.781 6.781 6.781
Pt 0.000 0.000 0.000
I 4.521 4.521 4.521

---

24.
5
Lattice="4.813 0.000 0.000 0.000 4.813 0.000 0.000 0.000 5.245" Properties=species:S:1:pos:R:3 comment="LaHf2ZrBe, optimized geometry, DFT PBE" e_form_ev_per_atom=0.57 energy_ev_per_atom=-6.85 spacegroup="No. 123" crystal_system=tetragonal pbc="T T T"
La 0.000 0.000 0.000
Hf 0.000 2.406 2.623
Hf 2.406 0.000 2.623
Zr 2.406 2.406 0.000
Be 0.000 0.000 2.623

---

25.
12
Lattice="4.024 -6.972 0.000 4.024 6.972 0.000 -2.688 0.000 8.478" Properties=species:S:1:pos:R:3 comment="Ba6Rh2SI3, optimized geometry, DFT PBE" energy_ev_per_atom=-4.05 spacegroup="No. 12" crystal_system=monoclinic formation_energy_uncorrected_ev_per_atom=-1.137 pbc="T T T"
Ba -0.034 2.371 6.809
Ba 1.288 0.000 1.667
Ba -0.034 -2.371 6.809
Ba 5.393 2.371 1.669
Ba 4.071 0.000 6.811
Ba 5.393 -2.371 1.669
Rh 4.024 4.649 0.000
Rh 4.024 -4.649 0.000
S 4.024 0.000 0.000
I -1.344 0.000 4.239
I 2.680 2.302 4.239
I 2.680 -2.302 4.239